1.
! PBE Li2CeMg, relaxed; values from VASP
! Total magnetization, μB/atom: 0.12
! DFT formation energy, eV/atom: 0.107
! Space group: P4/mmm, No. 123
! N(E_F), states/eV/cell: 6.5
! Excess energy over the best structure of this formula in the dataset, meV per atom: 31.9
! Electronic total energy, eV/atom: -2.732
&SYSTEM
  ibrav = 0, nat = 4, ntyp = 3
/
ATOMIC_SPECIES
Mg 24.30 Mg.upf
Ce 140.12 Ce.upf
Li 6.94 Li.upf
ATOMIC_POSITIONS crystal
Mg 0.500 0.500 0.000
Ce 0.500 0.500 0.500
Li 0.000 0.000 0.778
Li 0.000 0.000 0.222
CELL_PARAMETERS angstrom
3.011 0.000 0.000
0.000 3.011 0.000
0.000 0.000 9.764



2.
! PBE LiCeMg4, relaxed; values from VASP
! Total magnetization, μB/atom: 0.12
! DFT formation energy, eV/atom: -0.013
! Space group: P4/mmm, No. 123
! N(E_F), states/eV/cell: 7.6
! Excess energy over the best structure of this formula in the dataset, meV per atom: 0.0
! Electronic total energy, eV/atom: -2.384
&SYSTEM
  ibrav = 0, nat = 6, ntyp = 3
/
ATOMIC_SPECIES
Li 6.94 Li.upf
Ce 140.12 Ce.upf
Mg 24.30 Mg.upf
ATOMIC_POSITIONS crystal
Li 0.500 0.500 0.500
Ce 0.000 0.000 0.000
Mg 0.500 0.500 0.197
Mg 0.000 0.000 0.640
Mg 0.000 0.000 0.360
Mg 0.500 0.500 0.803
CELL_PARAMETERS angstrom
-1.902 2.284 -1.452
-2.272 -0.384 2.373
5.596 8.992 6.812



3.
! PBE LiCeMg2, relaxed; values from VASP
! Total magnetization, μB/atom: 0.00
! DFT formation energy, eV/atom: -0.006
! Space group: P-6m2, No. 187
! N(E_F), states/eV/cell: 4.2
! Excess energy over the best structure of this formula in the dataset, meV per atom: 1.0
! Electronic total energy, eV/atom: -2.765
&SYSTEM
  ibrav = 0, nat = 4, ntyp = 3
/
ATOMIC_SPECIES
Li 6.94 Li.upf
Ce 140.12 Ce.upf
Mg 24.30 Mg.upf
ATOMIC_POSITIONS crystal
Li 0.200 0.800 0.000
Ce 0.867 0.133 0.500
Mg 0.534 0.466 0.768
Mg 0.534 0.466 0.232
CELL_PARAMETERS angstrom
-1.828 -0.729 2.395
-0.734 -0.958 -2.855
5.829 -9.297 1.621



4.
! PBE LiCeMg14, relaxed; values from VASP
! Total magnetization, μB/atom: 0.07
! DFT formation energy, eV/atom: 0.027
! Space group: P-6m2, No. 187
! N(E_F), states/eV/cell: 13.3
! Excess energy over the best structure of this formula in the dataset, meV per atom: 5.6
! Electronic total energy, eV/atom: -1.859
&SYSTEM
  ibrav = 0, nat = 16, ntyp = 3
/
ATOMIC_SPECIES
Li 6.94 Li.upf
Ce 140.12 Ce.upf
Mg 24.30 Mg.upf
ATOMIC_POSITIONS crystal
Li 0.000 0.000 0.000
Ce 0.000 0.000 0.500
Mg 0.997 0.499 0.000
Mg 0.015 0.507 0.500
Mg 0.501 0.003 0.000
Mg 0.493 0.985 0.500
Mg 0.501 0.499 0.000
Mg 0.493 0.507 0.500
Mg 0.166 0.834 0.243
Mg 0.166 0.834 0.757
Mg 0.166 0.332 0.243
Mg 0.166 0.332 0.757
Mg 0.668 0.834 0.243
Mg 0.668 0.834 0.757
Mg 0.667 0.333 0.262
Mg 0.667 0.333 0.738
CELL_PARAMETERS angstrom
3.261 -5.649 0.000
3.261 5.649 0.000
0.000 0.000 10.324



5.
! PBE LiCeMg2, relaxed; values from VASP
! Total magnetization, μB/atom: 0.00
! DFT formation energy, eV/atom: -0.003
! Space group: Cm, No. 8
! N(E_F), states/eV/cell: 4.2
! Excess energy over the best structure of this formula in the dataset, meV per atom: 3.8
! Electronic total energy, eV/atom: -2.762
&SYSTEM
  ibrav = 0, nat = 4, ntyp = 3
/
ATOMIC_SPECIES
Li 6.94 Li.upf
Ce 140.12 Ce.upf
Mg 24.30 Mg.upf
ATOMIC_POSITIONS crystal
Li 0.667 0.667 0.999
Ce 0.502 0.502 0.500
Mg 0.082 0.082 0.769
Mg 0.249 0.249 0.232
CELL_PARAMETERS angstrom
-2.427 -1.206 -1.491
-0.171 -3.061 -0.413
-6.173 -2.227 9.085



6.
! PBE Li2CeMg4, relaxed; values from VASP
! Total magnetization, μB/atom: 0.20
! DFT formation energy, eV/atom: 0.010
! Space group: Cmmm, No. 65
! N(E_F), states/eV/cell: 8.3
! Electronic total energy, eV/atom: -2.295
&SYSTEM
  ibrav = 0, nat = 7, ntyp = 3
/
ATOMIC_SPECIES
Li 6.94 Li.upf
Ce 140.12 Ce.upf
Mg 24.30 Mg.upf
ATOMIC_POSITIONS crystal
Li 0.500 0.220 0.439
Li 0.500 0.780 0.561
Ce 0.000 0.500 0.000
Mg 0.500 0.084 0.169
Mg 0.000 0.346 0.692
Mg 0.500 0.916 0.831
Mg 0.000 0.654 0.308
CELL_PARAMETERS angstrom
-1.286 -2.107 1.758
3.318 -3.148 -1.346
4.850 4.764 9.257